Record 1
The following is a DFT calculation (GGA-PBE) of an optimized crystal structure of SrMnSe4.

Properties
- calculated density (g/cm³) = 5.164
- ΔE_f (raw) (eV/f.u.) = 0.38
- density of states at the Fermi level (states/eV/cell) = 5.33

The structure in extended XYZ format:
```
6
Lattice="0.000 4.193 4.193 4.193 0.000 4.193 4.193 4.193 0.000" Properties=species:S:1:pos:R:3 pbc="T T T"
Sr 0.000 0.000 0.000
Mn 6.289 6.289 6.289
Se 3.153 3.153 3.153
Se 5.232 5.232 3.153
Se 5.232 3.153 5.232
Se 3.153 5.232 5.232
```

---

Record 2
The following is a DFT calculation (GGA-PBE) of an optimized crystal structure of Pm8MgSi6.

Properties
- calculated density (g/cm³) = 5.464
- ΔE_f (raw) (eV/f.u.) = -7.12
- density of states at the Fermi level (states/eV/cell) = 9.09

The structure in extended XYZ format:
```
15
Lattice="4.423 2.554 6.066 -4.423 2.554 6.066 0.000 -5.108 6.066" Properties=species:S:1:pos:R:3 pbc="T T T"
Pm -2.751 0.046 7.312
Pm 0.000 0.000 3.062
Pm -1.416 -2.360 10.886
Pm 1.336 -2.406 7.312
Pm -1.336 2.406 10.886
Pm 1.416 2.360 7.312
Pm 0.000 0.000 15.136
Pm 2.751 -0.046 10.886
Mg 0.000 0.000 9.099
Si -1.550 -2.618 7.830
Si -3.042 0.033 10.367
Si -1.492 2.651 7.830
Si 1.492 -2.651 10.367
Si 3.042 -0.033 7.830
Si 1.550 2.618 10.367
```

---

Record 3
The following is a DFT calculation (GGA-PBE) of an optimized crystal structure of LuPaHgPt.

Properties
- calculated density (g/cm³) = 14.490
- density of states at the Fermi level (states/eV/cell) = 4.70
- ΔE_f (eV per formula unit) = -1.91

The structure in extended XYZ format:
```
4
Lattice="0.000 3.581 3.581 3.581 0.000 3.581 3.581 3.581 0.000" Properties=species:S:1:pos:R:3 pbc="T T T"
Lu 0.000 0.000 0.000
Pa 3.581 3.581 3.581
Hg 5.372 5.372 5.372
Pt 1.791 1.791 1.791
```

---

Record 4
The following is a DFT calculation (GGA-PBE) of an optimized crystal structure of NbCr2SnMo.

Properties
- calculated density (g/cm³) = 6.459
- density of states at the Fermi level (states/eV/cell) = 5.71
- ΔE_f (eV per formula unit) = 7.32

The structure in extended XYZ format:
```
5
Lattice="4.689 0.000 0.000 0.000 4.689 0.000 0.000 0.000 4.813" Properties=species:S:1:pos:R:3 pbc="T T T"
Nb 0.000 0.000 0.000
Cr 0.000 2.344 0.000
Cr 2.344 0.000 0.000
Sn 2.344 2.344 2.407
Mo 0.000 0.000 2.407
```